1.
MgPaBi2N: optimized geometry, PBE-GGA.

Unit cell a=3.9196 b=3.9196 c=17.2750 alpha=90.00 beta=90.00 gamma=90.00
With the nearest neighbours (Å) after each atom.
Space group P4/nmm (No. 129, origin choice 2)
Symmetry-distinct sites (fractional):
Mg: 0.2500 0.2500 0.1498 x2  5 Bi 2.90-3.13
Pa: 0.2500 0.2500 0.5681 x2  4 N 2.29
Bi: 0.2500 0.2500 0.3178 x2  1 Mg 2.90
Bi: 0.2500 0.2500 0.9349 x2  4 Mg 3.13
N: 0.2500 0.7500 0.5000 x2  4 Pa 2.29

Results
ρ, g cm⁻³: 8.60
Formation energy from raw total energies, eV per formula unit: -3.48
Final energy, eV per atom: -6.131

***

2.
PuNpCo2: optimized geometry, PBE-GGA.

Unit cell a=4.6116 b=4.6116 c=3.3150 alpha=90.00 beta=90.00 gamma=90.00
With the nearest neighbours (Å) after each atom.
Space group P4/mmm (No. 123)
Symmetry-distinct sites (fractional):
Pu: 0.0000 0.0000 0.0000 x1  8 Co 2.84
Np: 0.5000 0.5000 0.0000 x1  8 Co 2.84
Co: 0.0000 0.5000 0.5000 x2  4 Np 2.84, 4 Pu 2.84

Results
ΔE_f, kJ/mol of formula units: 61
ρ, g cm⁻³: 14.11
Energy relative to the lowest polymorph listed for this composition, eV per atom: 0.037
Final energy, eV per atom: -10.213

***

3.
KMnSe: optimized geometry, PBE-GGA.

Unit cell a=3.6995 b=3.6995 c=12.3054 alpha=90.00 beta=90.00 gamma=90.00
With the nearest neighbours (Å) after each atom.
Space group I4mm (No. 107)
Symmetry-distinct sites (fractional):
K: 0.0000 0.0000 0.0000 x2  1 Mn 3.29, 1 Se 3.33
Mn: 0.0000 0.0000 0.7328 x2  4 Se 2.66
Se: 0.0000 0.0000 0.2709 x2  4 Mn 2.66

Results
ρ, g cm⁻³: 3.41
Formation energy from raw total energies, eV per formula unit: -0.52
Energy relative to the lowest polymorph listed for this composition, eV per atom: 0.189
Final energy, eV per atom: -4.758

***

4.
DyErIn: optimized geometry, PBE-GGA.

Unit cell a=5.2089 b=5.2089 c=3.6053 alpha=90.00 beta=90.00 gamma=120.00
With the nearest neighbours (Å) after each atom.
Space group P3m1 (No. 156)
Symmetry-distinct sites (fractional):
Dy: 0.0000 0.0000 0.0000 x1  3 In 3.20, 3 Er 3.41
Er: 0.6667 0.3333 0.5563 x1  3 In 3.14, 3 Dy 3.41
In: 0.3333 0.6667 0.3015 x1  3 Er 3.14, 3 Dy 3.20

Results
ΔE_f, kJ/mol of formula units: -65
ρ, g cm⁻³: 8.71
Energy relative to the lowest polymorph listed for this composition, eV per atom: 0.091
Final energy, eV per atom: -4.191

***

5.
KPuGaO5: optimized geometry, PBE-GGA.

Unit cell a=7.3982 b=9.6526 c=8.0119 alpha=90.00 beta=116.20 gamma=90.00
With the nearest neighbours (Å) after each atom.
Space group C2/c (No. 15)
Symmetry-distinct sites (fractional):
K: 0.0000 0.1691 0.2500 x4  7 O 2.63-2.94
Pu: 0.0000 0.5000 0.0000 x4  6 O 2.06-2.08
Ga: 0.0000 0.1908 0.7500 x4  4 O 1.87-1.88
O: 0.0000 0.4418 0.2500 x4  2 Pu 2.08
O: 0.0870 0.3018 0.6078 x8  1 Ga 1.87, 1 Pu 2.08
O: 0.2061 0.0678 0.8964 x8  1 Ga 1.88, 1 Pu 2.06

Results
ρ, g cm⁻³: 5.60
Formation energy from raw total energies, eV per formula unit: -17.52
Final energy, eV per atom: -7.596

***

6.
Cu4RhCl: optimized geometry, PBE-GGA.

Unit cell a=6.9400 b=6.9400 c=6.9400 alpha=90.00 beta=90.00 gamma=90.00
With the nearest neighbours (Å) after each atom.
Space group F-43m (No. 216)
Symmetry-distinct sites (fractional):
Cu: 0.1241 0.1241 0.3759 x16  6 Cu 2.44-2.47
Rh: 0.2500 0.2500 0.7500 x4  12 Cu 2.88, 4 Cl 3.01
Cl: 0.0000 0.0000 0.0000 x4  12 Cu 2.88, 4 Rh 3.01

Results
ρ, g cm⁻³: 7.80
Formation energy from raw total energies, eV per formula unit: 2.24
Final energy, eV per atom: -3.891